<w>
## K2TlI2 (PBE)

Data for a geometry-optimized K2TlI2 structure.

```
K2TlI2
1.0
10.085 0.000 0.000
0.000 10.085 0.000
0.000 0.000 4.157
Tl K I
2 4 4
direct
0.500 0.500 0.000 Tl
0.000 0.000 0.000 Tl
0.358 0.858 0.000 K
0.142 0.358 0.000 K
0.858 0.642 0.000 K
0.642 0.142 0.000 K
0.845 0.345 0.500 I
0.655 0.845 0.500 I
0.345 0.155 0.500 I
0.155 0.655 0.500 I
```

=====

<x>
## K2TlI2 (PBE)

Data for a geometry-optimized K2TlI2 structure.

```
K2TlI2
1.0
-8.143 3.763 3.565
3.396 -1.143 8.963
1.819 4.095 -0.167
I K Tl
4 4 2
direct
0.152 0.348 0.000 I
0.348 0.848 0.000 I
0.652 0.152 0.000 I
0.848 0.652 0.000 I
0.651 0.849 0.500 K
0.349 0.151 0.500 K
0.151 0.651 0.500 K
0.849 0.349 0.500 K
0.500 0.500 0.000 Tl
0.000 0.000 0.000 Tl
```

=====

Quick one: most stable of them? <x>

=====

<w>
## K3TlI4 (PBE)

Data for a geometry-optimized K3TlI4 structure.

```
K3TlI4
1.0
-6.807 1.454 1.580
-1.290 1.440 -6.871
2.325 -8.305 1.532
I K Tl
4 3 1
direct
0.500 0.000 0.000 I
0.250 0.250 0.499 I
0.750 0.750 0.501 I
0.000 0.500 0.000 I
0.500 0.500 0.000 K
0.750 0.250 0.500 K
0.250 0.750 0.500 K
0.000 0.000 0.000 Tl
```

=====

<x>
## K3TlI4 (PBE)

Data for a geometry-optimized K3TlI4 structure.

```
K3TlI4
1.0
-5.594 -4.286 0.693
2.463 -1.582 10.093
-6.866 9.473 3.161
I K Tl
8 6 2
direct
0.566 0.166 0.000 I
0.064 0.333 0.249 I
0.564 0.166 0.500 I
0.564 0.667 0.251 I
0.564 0.667 0.749 I
0.064 0.333 0.751 I
0.064 0.834 0.000 I
0.066 0.834 0.500 I
0.064 0.667 0.251 K
0.564 0.333 0.751 K
0.064 0.667 0.749 K
0.564 0.834 0.000 K
0.064 0.166 0.500 K
0.564 0.333 0.249 K
0.065 0.166 0.000 Tl
0.565 0.834 0.500 Tl
```

=====

Quick one: most stable of them? <w>

=====

<w>
## KTmI3 (PBE)

Data for a geometry-optimized KTmI3 structure.

```
KTmI3
1.0
2.054 -8.080 0.000
2.054 8.080 0.000
0.000 0.000 11.569
K I Tm
2 6 2
direct
0.258 0.742 0.750 K
0.742 0.258 0.250 K
0.636 0.364 0.945 I
0.636 0.364 0.555 I
0.060 0.940 0.250 I
0.364 0.636 0.445 I
0.940 0.060 0.750 I
0.364 0.636 0.055 I
0.000 0.000 0.500 Tm
0.000 0.000 0.000 Tm
```

=====

<x>
## KTmI3 (PBE)

Data for a geometry-optimized KTmI3 structure.

```
KTmI3
1.0
5.979 0.000 0.000
0.000 5.979 0.000
0.000 0.000 5.979
K I Tm
1 3 1
direct
0.500 0.500 0.500 K
0.500 0.000 0.000 I
0.000 0.500 0.000 I
0.000 0.000 0.500 I
0.000 0.000 0.000 Tm
```

=====

Quick one: most stable of them? <w>

=====

<w>
## KU2I8 (PBE)

Data for a geometry-optimized KU2I8 structure.

```
KU2I8
1.0
-1.378 5.949 1.052
-10.264 -2.694 1.780
7.009 0.180 8.163
U I K
2 8 1
direct
0.756 0.667 0.333 U
0.244 0.333 0.667 U
0.258 0.649 0.824 I
0.248 0.667 0.333 I
0.752 0.333 0.667 I
0.742 0.824 0.175 I
0.742 0.825 0.649 I
0.258 0.176 0.825 I
0.258 0.175 0.351 I
0.742 0.351 0.176 I
0.000 0.000 0.000 K
```

=====

<x>
## KU2I8 (PBE)

Data for a geometry-optimized KU2I8 structure.

```
KU2I8
1.0
8.543 0.575 0.436
0.806 9.634 1.320
0.806 3.865 8.923
I U K
8 2 1
direct
0.697 0.178 0.178 I
0.756 0.669 0.140 I
0.244 0.860 0.331 I
0.205 0.349 0.349 I
0.303 0.822 0.822 I
0.756 0.140 0.669 I
0.244 0.331 0.860 I
0.795 0.651 0.651 I
0.648 0.818 0.818 U
0.352 0.182 0.182 U
0.000 0.000 0.000 K
```

=====

Quick one: most stable of them? <w>